Material: LaPW2
Method: DFT, PBE
State: optimized geometry

CIF file:
```
data_LaPW2
_chemical_formula_sum 'La2 P2 W4'
_cell_length_a 3.379
_cell_length_b 5.042
_cell_length_c 8.705
_cell_angle_alpha 90.00
_cell_angle_beta 90.00
_cell_angle_gamma 90.00
_symmetry_space_group_name_H-M 'C m m m'
_symmetry_Int_Tables_number 65
_symmetry_space_group_name_Hall '-C 2 2'
loop_
_atom_site_label
_atom_site_fract_x
_atom_site_fract_y
_atom_site_fract_z
_atom_site_occupancy
La1 0.000 0.000 0.000 1
P1 0.000 0.000 0.500 1
W1 0.000 0.500 0.309 1
```

Energy relative to the lowest polymorph listed for this composition in eV per atom: 0.5132
Calculated formation energy in eV per atom: 0.4456

***

Material: La4GeSbN
Method: DFT, PBE
State: optimized geometry

CIF file:
```
data_La4GeSbN
_chemical_formula_sum 'La16 Ge4 Sb4 N4'
_cell_length_a 6.924
_cell_length_b 16.651
_cell_length_c 6.959
_cell_angle_alpha 90.00
_cell_angle_beta 90.00
_cell_angle_gamma 90.00
_symmetry_space_group_name_H-M 'C m c m'
_symmetry_Int_Tables_number 63
_symmetry_space_group_name_Hall '-C 2c 2'
loop_
_atom_site_label
_atom_site_fract_x
_atom_site_fract_y
_atom_site_fract_z
_atom_site_occupancy
La1 0.000 0.078 0.250 1
La2 0.000 0.416 0.250 1
La3 0.250 0.250 0.000 1
Ge1 0.000 0.115 0.750 1
Sb1 0.000 0.392 0.750 1
N1 0.000 0.227 0.250 1
```

Formation energy without anion corrections in kJ per mole of atoms: -96

***

Material: TePbAu
Method: DFT, PBE
State: optimized geometry

CIF file:
```
data_TePbAu
_chemical_formula_sum 'Te4 Pb4 Au4'
_cell_length_a 16.706
_cell_length_b 4.454
_cell_length_c 4.772
_cell_angle_alpha 90.00
_cell_angle_beta 101.07
_cell_angle_gamma 90.00
_symmetry_space_group_name_H-M 'C 1 m 1'
_symmetry_Int_Tables_number 8
_symmetry_space_group_name_Hall 'C -2y'
loop_
_atom_site_label
_atom_site_fract_x
_atom_site_fract_y
_atom_site_fract_z
_atom_site_occupancy
Te1 0.000 0.000 0.000 1
Te2 0.245 0.000 0.904 1
Pb1 0.060 0.500 0.607 1
Pb2 0.332 0.500 0.501 1
Au1 0.157 0.000 0.349 1
Au2 0.407 0.000 0.216 1
```

Formation energy without anion corrections in kJ per mole of atoms: -12

***

Total moment
In order: 0.0; 0.0; 0.0
Unit: μB/f.u.